Computed, not measured: PrBeGePt3 after structural relaxation at the GGA-PBE level of DFT.

Magnetization in μB per cell: 0.00
E_form in eV/atom: -0.76
Density in g cm⁻³: 12.279

Unit cell a=6.813 b=6.813 c=5.642 alpha=90.00 beta=90.00 gamma=123.45
Fractional positions:
Pr 0.227 0.773 0.750
Pr 0.773 0.227 0.250
Be 0.482 0.518 0.750
Be 0.518 0.482 0.250
Ge 0.126 0.874 0.250
Ge 0.874 0.126 0.750
Pt 0.227 0.227 0.000
Pt 0.227 0.227 0.500
Pt 0.328 0.672 0.250
Pt 0.672 0.328 0.750
Pt 0.773 0.773 0.000
Pt 0.773 0.773 0.500